Record 1
## Na3AsI (PBE-GGA)

Data for an optimized crystal structure of Na3AsI.

Lattice parameters (Å, degrees): 5.739 5.739 5.739 90.00 90.00 90.00
Each line ends with the local moment (μB).
Element x y z (fractional)
Na1 0.000 0.500 0.000  0.00
As1 0.500 0.500 0.500  0.41
Na2 0.000 0.000 0.500  -0.01
I1 0.000 0.000 0.000  0.01
Na3 0.500 0.000 0.000  0.00

Uncorrected formation energy = -0.19 eV per atom

***

Record 2
## Dy2ScTl9 (PBE-GGA)

Data for an optimized crystal structure of Dy2ScTl9.

Lattice parameters (Å, degrees): 4.741 4.741 14.199 90.00 90.00 90.00
Element x y z (fractional)
Tl1 0.500 0.500 0.668
Sc1 0.000 0.000 0.000
Dy1 0.000 0.000 0.669
Tl2 0.500 0.000 0.838
Tl3 0.500 0.500 0.000
Tl4 0.000 0.500 0.838
Tl5 0.500 0.000 0.162
Tl6 0.000 0.500 0.162
Tl7 0.500 0.500 0.332
Dy2 0.000 0.000 0.331
Tl8 0.000 0.500 0.500
Tl9 0.500 0.000 0.500

Energy of formation from the pure elements = -217 kJ/mol of formula units

***

Record 3
## Ba2ThTlS5 (PBE-GGA)

Data for an optimized crystal structure of Ba2ThTlS5.

Lattice parameters (Å, degrees): 4.333 9.391 13.339 90.00 90.00 103.34
Element x y z (fractional)
S1 0.721 0.441 0.151
S2 0.493 0.985 0.763
S3 0.307 0.614 0.379
S4 0.693 0.386 0.879
Th1 0.789 0.577 0.515
Ba1 0.131 0.263 0.305
S5 0.936 0.873 0.574
Ba2 0.104 0.208 0.680
Tl1 0.470 0.940 0.458
S6 0.361 0.721 0.999
Ba3 0.869 0.737 0.805
S7 0.064 0.127 0.074
S8 0.507 0.015 0.263
Tl2 0.530 0.060 0.958
Th2 0.211 0.423 0.015
S9 0.279 0.559 0.651
S10 0.639 0.279 0.499
Ba4 0.896 0.792 0.180

Uncorrected formation energy = -1.60 eV per atom

***

no.,size of the total moment (μB per formula unit)
1,1.00
2,0.00
3,0.00